Record 1
Pr6Tl2Rh | PBE | optimized geometry

Its energy of formation from the pure elements is -0.275 eV per atom. The electronic total energy is -4.804 eV/atom. Its polymorph energy (0 for the lowest one) is 87 meV/atom.

It has space group P2_1/c (No. 14), with a = 7.497 Å, b = 7.402 Å, c = 12.947 Å, α = 90.00°, β = 123.54° and γ = 90.00°. The asymmetric unit holds Pr at (0.152, 0.203, 0.461), Pr at (0.260, 0.689, 0.461), Pr at (0.339, 0.502, 0.748), Tl at (0.221, 0.065, 0.744) and Rh at (0.500, 0.000, 0.500).

Record 2
Pr3TlRh | PBE | optimized geometry

Its energy of formation from the pure elements is -0.454 eV per atom. The electronic total energy is -5.265 eV/atom. Its polymorph energy (0 for the lowest one) is 0 meV/atom.

It has space group Pnma (No. 62), with a = 8.223 Å, b = 4.891 Å, c = 14.792 Å, α = 90.00°, β = 90.00° and γ = 90.00°. The asymmetric unit holds Pr at (0.003, 0.250, 0.109), Pr at (0.143, 0.750, 0.481), Pr at (0.174, 0.250, 0.717), Tl at (0.109, 0.250, 0.329) and Rh at (0.193, 0.750, 0.048).

Record 3
Pr3Tl2Rh | PBE | optimized geometry

Its energy of formation from the pure elements is -0.380 eV per atom. The electronic total energy is -4.783 eV/atom. Its polymorph energy (0 for the lowest one) is 69 meV/atom.

It has space group C2/m (No. 12), with a = 8.017 Å, b = 11.418 Å, c = 8.190 Å, α = 90.00°, β = 100.58° and γ = 90.00°. The asymmetric unit holds Pr at (0.178, 0.000, 0.176), Pr at (0.225, 0.180, 0.769), Tl at (0.000, 0.000, 0.500), Tl at (0.000, 0.368, 0.500), Tl at (0.000, 0.500, 0.000) and Rh at (0.000, 0.203, 0.000).

Record 4
PrTlRh | PBE | optimized geometry

Its energy of formation from the pure elements is -0.408 eV per atom. The electronic total energy is -5.240 eV/atom.

It has space group F-43m (No. 216), with a = 6.811 Å, b = 6.811 Å, c = 6.811 Å, α = 90.00°, β = 90.00° and γ = 90.00°. The asymmetric unit holds Pr at (0.000, 0.000, 0.000), Tl at (0.000, 0.000, 0.500) and Rh at (0.250, 0.250, 0.250).

Record 5
PrTlRh | PBE | optimized geometry

Its energy of formation from the pure elements is -0.518 eV per atom. The electronic total energy is -5.351 eV/atom.

It has space group Pmma (No. 51), with a = 13.527 Å, b = 3.998 Å, c = 7.964 Å, α = 90.00°, β = 90.00° and γ = 90.00°. The asymmetric unit holds Pr at (0.046, 0.000, 0.226), Pr at (0.250, 0.000, 0.849), Tl at (0.119, 0.500, 0.573), Tl at (0.250, 0.500, 0.192), Rh at (0.096, 0.500, 0.940) and Rh at (0.250, 0.000, 0.445).

Record 6
Pr6Tl2Rh | PBE | optimized geometry

Its energy of formation from the pure elements is -0.362 eV per atom. The electronic total energy is -4.891 eV/atom. Its polymorph energy (0 for the lowest one) is 0 meV/atom.

It has space group P-62m (No. 189), with a = 9.0388 Å, b = 9.0388 Å, c = 3.9201 Å, α = 90.00°, β = 90.00° and γ = 120.00°. The asymmetric unit holds Pr at (0.0000, 0.2409, 0.0000), Pr at (0.0000, 0.5999, 0.5000), Tl at (0.3333, 0.6667, 0.0000) and Rh at (0.0000, 0.0000, 0.5000).

Record 7
PrTl2Rh2 | PBE | optimized geometry

Its energy of formation from the pure elements is -0.230 eV per atom. The electronic total energy is -5.073 eV/atom.

It has space group C2/m (No. 12), with a = 8.482 Å, b = 5.110 Å, c = 5.324 Å, α = 90.00°, β = 108.07° and γ = 90.00°. The asymmetric unit holds Pr at (0.000, 0.000, 0.000), Tl at (0.233, 0.500, 0.328) and Rh at (0.116, 0.500, 0.775).

Record 8
PrTlRh4 | PBE | optimized geometry

Its energy of formation from the pure elements is -0.319 eV per atom. The electronic total energy is -6.411 eV/atom.

It has space group F-43m (No. 216), with a = 7.600 Å, b = 7.600 Å, c = 7.600 Å, α = 90.00°, β = 90.00° and γ = 90.00°. The asymmetric unit holds Pr at (0.000, 0.000, 0.000), Tl at (0.250, 0.250, 0.750) and Rh at (0.124, 0.124, 0.376).

Record 9
PrYTlRh | PBE | optimized geometry

Its energy of formation from the pure elements is -0.422 eV per atom. The electronic total energy is -5.662 eV/atom. Its polymorph energy (0 for the lowest one) is 124 meV/atom.

It has space group F-43m (No. 216), with a = 7.394 Å, b = 7.394 Å, c = 7.394 Å, α = 90.00°, β = 90.00° and γ = 90.00°. The asymmetric unit holds Pr at (0.000, 0.000, 0.000), Y at (0.000, 0.000, 0.500), Tl at (0.250, 0.250, 0.750) and Rh at (0.250, 0.250, 0.250).

Record 10
PrYTlRh | PBE | optimized geometry

Its energy of formation from the pure elements is -0.546 eV per atom. The electronic total energy is -5.786 eV/atom. Its polymorph energy (0 for the lowest one) is 0 meV/atom.

It has space group P4mm (No. 99), with a = 3.561 Å, b = 3.561 Å, c = 7.978 Å, α = 90.00°, β = 90.00° and γ = 90.00°. The asymmetric unit holds Pr at (0.000, 0.000, 0.000), Y at (0.000, 0.000, 0.574), Tl at (0.500, 0.500, 0.300) and Rh at (0.500, 0.500, 0.768).

Record 11
Pr2Tm2Rh15 | PBE | optimized geometry

Its energy of formation from the pure elements is -0.376 eV per atom. The electronic total energy is -7.153 eV/atom.

It has space group R-3m (No. 166, hexagonal axes), with a = 9.1456 Å, b = 9.1456 Å, c = 13.5257 Å, α = 90.00°, β = 90.00° and γ = 120.00°. The asymmetric unit holds Pr at (0.0000, 0.0000, 0.1434), Tm at (0.0000, 0.0000, 0.3913), Rh at (0.0000, 0.3034, 0.5000), Rh at (0.0000, 0.5000, 0.0000) and Rh at (0.0041, 0.5021, 0.6526).

Record 12
Pr2TmRh9 | PBE | optimized geometry

Its energy of formation from the pure elements is -0.493 eV per atom. The electronic total energy is -7.176 eV/atom.

It has space group R-3m (No. 166, hexagonal axes), with a = 5.2868 Å, b = 5.2868 Å, c = 26.7917 Å, α = 90.00°, β = 90.00° and γ = 120.00°. The asymmetric unit holds Pr at (0.0000, 0.0000, 0.1384), Tm at (0.0000, 0.0000, 0.0000), Rh at (0.0000, 0.0000, 0.3328), Rh at (0.0000, 0.0000, 0.5000) and Rh at (0.0010, 0.5005, 0.0805).

Record 13
Pr2TmRh | PBE | optimized geometry

Its energy of formation from the pure elements is -0.225 eV per atom. The electronic total energy is -5.571 eV/atom. Its polymorph energy (0 for the lowest one) is 0 meV/atom.

It has space group P4/mmm (No. 123), with a = 3.657 Å, b = 3.657 Å, c = 8.529 Å, α = 90.00°, β = 90.00° and γ = 90.00°. The asymmetric unit holds Pr at (0.000, 0.000, 0.197), Tm at (0.500, 0.500, 0.500) and Rh at (0.500, 0.500, 0.000).

Record 14
Pr2Tm3Rh2 | PBE | optimized geometry

Its energy of formation from the pure elements is -0.571 eV per atom. The electronic total energy is -5.954 eV/atom.

It has space group C2/m (No. 12), with a = 12.266 Å, b = 3.760 Å, c = 9.050 Å, α = 90.00°, β = 117.12° and γ = 90.00°. The asymmetric unit holds Pr at (0.163, 0.000, 0.306), Tm at (0.000, 0.500, 0.500), Tm at (0.119, 0.500, 0.931) and Rh at (0.169, 0.000, 0.743).

Record 15
Pr3TmRh | PBE | optimized geometry

Its energy of formation from the pure elements is -0.071 eV per atom. The electronic total energy is -5.303 eV/atom.

It has space group Pm-3m (No. 221), with a = 5.595 Å, b = 5.595 Å, c = 5.595 Å, α = 90.00°, β = 90.00° and γ = 90.00°. The asymmetric unit holds Pr at (0.000, 0.000, 0.500), Tm at (0.500, 0.500, 0.500) and Rh at (0.000, 0.000, 0.000).

Record 16
PrTm3Rh2 | PBE | optimized geometry

Its energy of formation from the pure elements is -0.536 eV per atom. The electronic total energy is -6.019 eV/atom.

It has space group C2/m (No. 12), with a = 15.279 Å, b = 5.030 Å, c = 8.133 Å, α = 90.00°, β = 110.26° and γ = 90.00°. The asymmetric unit holds Pr at (0.138, 0.000, 0.233), Tm at (0.071, 0.000, 0.741), Tm at (0.124, 0.500, 0.521), Tm at (0.184, 0.500, 0.996), Rh at (0.001, 0.500, 0.181) and Rh at (0.227, 0.000, 0.634).

Record 17
PrTmRh2 | PBE | optimized geometry

Its energy of formation from the pure elements is -0.756 eV per atom. The electronic total energy is -6.745 eV/atom.

It has space group P4/mmm (No. 123), with a = 3.423 Å, b = 3.423 Å, c = 7.158 Å, α = 90.00°, β = 90.00° and γ = 90.00°. The asymmetric unit holds Pr at (0.000, 0.000, 0.000), Tm at (0.000, 0.000, 0.500) and Rh at (0.500, 0.500, 0.271).

Record 18
PrTm2Rh9 | PBE | optimized geometry

Its energy of formation from the pure elements is -0.567 eV per atom. The electronic total energy is -7.224 eV/atom.

It has space group R-3m (No. 166, hexagonal axes), with a = 5.2790 Å, b = 5.2790 Å, c = 26.1916 Å, α = 90.00°, β = 90.00° and γ = 120.00°. The asymmetric unit holds Pr at (0.0000, 0.0000, 0.0000), Tm at (0.0000, 0.0000, 0.1398), Rh at (0.0000, 0.0000, 0.3332), Rh at (0.0000, 0.0000, 0.5000) and Rh at (0.0011, 0.5006, 0.9162).

Record 19
Pr3TmRh3 | PBE | optimized geometry

Its energy of formation from the pure elements is -0.567 eV per atom. The electronic total energy is -6.405 eV/atom.

It has space group C2/m (No. 12), with a = 9.326 Å, b = 10.525 Å, c = 7.196 Å, α = 90.00°, β = 90.82° and γ = 90.00°. The asymmetric unit holds Pr at (0.000, 0.179, 0.000), Pr at (0.000, 0.253, 0.500), Pr at (0.165, 0.500, 0.873), Tm at (0.235, 0.000, 0.631), Rh at (0.066, 0.000, 0.308) and Rh at (0.244, 0.260, 0.223).

Record 20
PrTm2Rh2 | PBE | optimized geometry

Its energy of formation from the pure elements is -0.668 eV per atom. The electronic total energy is -6.353 eV/atom.

It has space group C2/c (No. 15), with a = 12.356 Å, b = 6.255 Å, c = 7.739 Å, α = 90.00°, β = 122.02° and γ = 90.00°. The asymmetric unit holds Pr at (0.000, 0.121, 0.250), Tm at (0.190, 0.402, 0.777) and Rh at (0.071, 0.295, 0.976).